# 1
The following is a DFT calculation (PBE) of LiH6Pd5 after structural relaxation.

Total energy   -100.53 eV/cell
N(E_F)   0.1841 states/eV per atom

Cell and atoms, written as CIF:
```
data_LiH6Pd5
_chemical_formula_sum 'Li2 H12 Pd10'
_cell_length_a 5.147
_cell_length_b 8.699
_cell_length_c 5.067
_cell_angle_alpha 90.00
_cell_angle_beta 111.51
_cell_angle_gamma 90.00
_symmetry_space_group_name_H-M 'C 1 2/m 1'
_symmetry_Int_Tables_number 12
loop_
_symmetry_equiv_pos_as_xyz
'x,y,z'
'-x,-y,-z'
'-x,y,-z'
'x,-y,z'
'x+1/2,y+1/2,z'
'-x+1/2,-y+1/2,-z'
'-x+1/2,y+1/2,-z'
'x+1/2,-y+1/2,z'
loop_
_atom_site_label
_atom_site_fract_x
_atom_site_fract_y
_atom_site_fract_z
Li1 0.000 0.000 0.000
H1 0.215 0.311 0.761
H2 0.249 0.000 0.699
Pd1 0.000 0.163 0.500
Pd2 0.000 0.329 0.000
Pd3 0.000 0.500 0.500
```


# 2
The following is a DFT calculation (PBE) of K2Cu2IrS4 after structural relaxation.

Total energy   -81.79 eV/cell
N(E_F)   0.7184 states/eV per atom

Cell and atoms, written as CIF:
```
data_K2Cu2IrS4
_chemical_formula_sum 'K4 Cu4 Ir2 S8'
_cell_length_a 14.224
_cell_length_b 3.797
_cell_length_c 7.233
_cell_angle_alpha 90.00
_cell_angle_beta 110.87
_cell_angle_gamma 90.00
_symmetry_space_group_name_H-M 'C 1 2/m 1'
_symmetry_Int_Tables_number 12
loop_
_symmetry_equiv_pos_as_xyz
'x,y,z'
'-x,-y,-z'
'-x,y,-z'
'x,-y,z'
'x+1/2,y+1/2,z'
'-x+1/2,-y+1/2,-z'
'-x+1/2,y+1/2,-z'
'x+1/2,-y+1/2,z'
loop_
_atom_site_label
_atom_site_fract_x
_atom_site_fract_y
_atom_site_fract_z
K1 0.130 0.000 0.055
Cu1 0.193 0.500 0.496
Ir1 0.000 0.000 0.500
S1 0.019 0.500 0.302
S2 0.182 0.000 0.665
```